No. 1
Here is crystalline Sm2MgZn at its relaxed geometry from Alexandria via LeMat-Bulk. Energies are from GGA-PBE.

Values from the calculation:
- Offset from the most stable computed form: 0 meV per atom
- DFT formation energy: -80.8 kJ/mol of formula units

a b c (Å): 3.686 3.686 7.751
angles (deg): 90.00 90.00 90.00
Fractional positions:
1 Sm 0.000 0.000 0.225
2 Sm 0.000 0.000 0.775
3 Mg 0.500 0.500 0.500
4 Zn 0.500 0.500 0.000



No. 2
Here is crystalline Hg2O2F5 at its relaxed geometry from Alexandria via LeMat-Bulk. Energies are from GGA-PBE.

Values from the calculation:
- Formation energy (no corrections): -0.96 eV/atom

a b c (Å): 7.524 7.524 4.375
angles (deg): 90.28 90.28 37.84
Fractional positions:
1 Hg 0.154 0.154 0.002
2 Hg 0.846 0.846 0.998
3 O 0.457 0.457 0.509
4 O 0.543 0.543 0.491
5 F 0.000 0.000 0.000
6 F 0.145 0.145 0.502
7 F 0.308 0.308 0.004
8 F 0.692 0.692 0.996
9 F 0.855 0.855 0.498



No. 3
Here is crystalline BaZr2Sb at its relaxed geometry from Alexandria via LeMat-Bulk. Energies are from GGA-PBE.

Values from the calculation:
- Formation energy (no corrections): 0.13 eV/atom

a b c (Å): 5.851 5.851 5.851
angles (deg): 135.62 128.53 70.27
Fractional positions:
1 Ba 0.000 0.000 0.000
2 Zr 0.265 0.765 0.500
3 Zr 0.735 0.235 0.500
4 Sb 0.500 0.500 0.000



No. 4
Here is crystalline Sm3InPb2 at its relaxed geometry from Alexandria via LeMat-Bulk. Energies are from GGA-PBE.

Values from the calculation:
- Offset from the most stable computed form: 0 meV per atom
- DFT formation energy: -266.5 kJ/mol of formula units

a b c (Å): 9.185 9.185 6.462
angles (deg): 101.13 101.13 41.49
Fractional positions:
1 Sm 0.130 0.870 0.750
2 Sm 0.215 0.447 0.402
3 Sm 0.447 0.215 0.902
4 Sm 0.553 0.785 0.098
5 Sm 0.785 0.553 0.598
6 Sm 0.870 0.130 0.250
7 In 0.377 0.623 0.250
8 In 0.623 0.377 0.750
9 Pb 0.050 0.274 0.068
10 Pb 0.274 0.050 0.568
11 Pb 0.726 0.950 0.432
12 Pb 0.950 0.726 0.932



No. 5
Here is crystalline La2YHgRh at its relaxed geometry from Alexandria via LeMat-Bulk. Energies are from GGA-PBE.

Values from the calculation:
- DFT formation energy: -169.4 kJ/mol of formula units

a b c (Å): 5.484 5.484 5.472
angles (deg): 90.00 90.00 90.00
Fractional positions:
1 La 0.000 0.500 0.000
2 La 0.500 0.000 0.000
3 Y 0.000 0.000 0.500
4 Hg 0.500 0.500 0.500
5 Rh 0.000 0.000 0.000



No. 6
Here is crystalline Sm8Hg3Bi2 at its relaxed geometry from Alexandria via LeMat-Bulk. Energies are from GGA-PBE.

Values from the calculation:
- DFT formation energy: -398.2 kJ/mol of formula units

a b c (Å): 8.868 8.868 6.481
angles (deg): 92.84 92.84 56.43
Fractional positions:
1 Sm 0.085 0.085 0.367
2 Sm 0.094 0.679 0.132
3 Sm 0.321 0.906 0.868
4 Sm 0.326 0.326 0.639
5 Sm 0.674 0.674 0.361
6 Sm 0.679 0.094 0.132
7 Sm 0.906 0.321 0.868
8 Sm 0.915 0.915 0.633
9 Hg 0.328 0.672 0.500
10 Hg 0.500 0.500 0.000
11 Hg 0.672 0.328 0.500
12 Bi 0.257 0.257 0.136
13 Bi 0.743 0.743 0.864



No. 7
Here is crystalline PmCu6Si2 at its relaxed geometry from Alexandria via LeMat-Bulk. Energies are from GGA-PBE.

Values from the calculation:
- Formation energy (no corrections): -0.29 eV/atom

a b c (Å): 4.096 4.096 7.779
angles (deg): 90.00 90.00 90.00
Fractional positions:
1 Pm 0.000 0.000 0.000
2 Cu 0.000 0.000 0.500
3 Cu 0.000 0.500 0.310
4 Cu 0.000 0.500 0.690
5 Cu 0.500 0.000 0.310
6 Cu 0.500 0.000 0.690
7 Cu 0.500 0.500 0.500
8 Si 0.500 0.500 0.155
9 Si 0.500 0.500 0.845



No. 8
Here is crystalline Nd3YTh2Sb6 at its relaxed geometry from Alexandria via LeMat-Bulk. Energies are from GGA-PBE.

Values from the calculation:
- Formation energy (no corrections): -1.10 eV/atom

a b c (Å): 10.065 10.065 8.992
angles (deg): 103.08 103.08 25.86
Fractional positions:
1 Nd 0.000 0.000 0.000
2 Nd 0.333 0.333 0.666
3 Nd 0.667 0.667 0.334
4 Y 0.000 0.000 0.500
5 Th 0.335 0.335 0.169
6 Th 0.665 0.665 0.831
7 Sb 0.164 0.164 0.583
8 Sb 0.167 0.167 0.082
9 Sb 0.500 0.500 0.256
10 Sb 0.500 0.500 0.744
11 Sb 0.833 0.833 0.918
12 Sb 0.836 0.836 0.417



No. 9
Here is crystalline Ba2LaAs at its relaxed geometry from Alexandria via LeMat-Bulk. Energies are from GGA-PBE.

Values from the calculation:
- DFT formation energy: -186.6 kJ/mol of formula units

a b c (Å): 8.087 8.087 4.530
angles (deg): 90.00 90.00 136.81
Fractional positions:
1 Ba 0.151 0.849 0.000
2 Ba 0.849 0.151 0.000
3 La 0.500 0.500 0.500
4 As 0.000 0.000 0.500



No. 10
Here is crystalline Ta2V2Pb at its relaxed geometry from Alexandria via LeMat-Bulk. Energies are from GGA-PBE.

Values from the calculation:
- Offset from the most stable computed form: 118 meV per atom
- DFT formation energy: 348.3 kJ/mol of formula units

a b c (Å): 8.632 8.632 8.632
angles (deg): 157.24 157.24 32.41
Fractional positions:
1 Ta 0.122 0.122 0.000
2 Ta 0.878 0.878 0.000
3 V 0.250 0.750 0.500
4 V 0.750 0.250 0.500
5 Pb 0.500 0.500 0.000



No. 11
Here is crystalline BPI2F at its relaxed geometry from Alexandria via LeMat-Bulk. Energies are from GGA-PBE.

Values from the calculation:
- Formation energy (no corrections): 0.56 eV/atom

a b c (Å): 5.577 5.577 3.942
angles (deg): 90.00 90.00 90.00
Fractional positions:
1 B 0.000 0.000 0.000
2 P 0.500 0.500 0.500
3 I 0.000 0.500 0.500
4 I 0.500 0.000 0.500
5 F 0.500 0.500 0.000



No. 12
Here is crystalline Mg2SiB2Ru5 at its relaxed geometry from Alexandria via LeMat-Bulk. Energies are from GGA-PBE.

Values from the calculation:
- Formation energy (no corrections): -0.34 eV/atom

a b c (Å): 9.325 9.325 2.922
angles (deg): 90.00 90.00 90.00
Fractional positions:
1 Mg 0.176 0.324 0.000
2 Mg 0.324 0.824 0.000
3 Mg 0.676 0.176 0.000
4 Mg 0.824 0.676 0.000
5 Si 0.000 0.000 0.000
6 Si 0.500 0.500 0.000
7 B 0.126 0.626 0.000
8 B 0.374 0.126 0.000
9 B 0.626 0.874 0.000
10 B 0.874 0.374 0.000
11 Ru 0.000 0.500 0.500
12 Ru 0.068 0.791 0.500
13 Ru 0.209 0.068 0.500
14 Ru 0.291 0.568 0.500
15 Ru 0.432 0.291 0.500
16 Ru 0.500 0.000 0.500
17 Ru 0.568 0.709 0.500
18 Ru 0.709 0.432 0.500
19 Ru 0.791 0.932 0.500
20 Ru 0.932 0.209 0.500



Across the entries above, DFT total energy takes the values -0.121; -0.117; -0.208; -0.166; -0.189; -0.143; -0.175; -0.225; -0.141; -0.309; -0.105; -0.264 hartree per atom, respectively.